BaTmPt4 | the Alexandria database | PBE-GGA | optimized geometry; ΔH_f (0 K) = -4.932 eV/f.u.; SG = F-43m
1.0
5.557 0.000 0.000
2.778 4.812 0.000
2.778 1.604 4.537
Pt Tm Ba
4 1 1
Direct
0.626 0.626 0.123
0.626 0.626 0.626
0.123 0.626 0.626
0.626 0.123 0.626
0.000 0.000 0.000
0.250 0.250 0.250